## TlSb2Pb2 (GGA-PBE)

Data for an optimized crystal structure of TlSb2Pb2.

a = 17.8760 Å, b = 4.7557 Å, c = 9.0696 Å
α = 90.00°, β = 118.81°, γ = 90.00°
With the nearest neighbours (Å) after each atom.
Space group C2/m (No. 12)
One atom of each set of equivalent atoms:
Tl  0.1481  0.0000  0.3429 (multiplicity 4)  5 Sb 3.28-3.57, 1 Pb 3.39
Sb  0.0011  0.5000  0.1841 (multiplicity 4)  4 Pb 3.17-3.39, 2 Tl 3.31, 1 Sb 3.32
Sb  0.2334  0.0000  0.7542 (multiplicity 4)  3 Pb 3.11-3.12, 1 Tl 3.28
Pb  0.1057  0.5000  0.6112 (multiplicity 4)  4 Sb 3.11-3.39, 1 Pb 3.32
Pb  0.1329  0.0000  0.9561 (multiplicity 4)  5 Sb 3.12-3.50, 1 Tl 3.39

Properties
* magnetic moment: 0.000 μB/atom
* E above lowest polymorph: 0.000 eV per atom

***

## BaSrY2 (GGA-PBE)

Data for an optimized crystal structure of BaSrY2.

a = 4.2325 Å, b = 6.1975 Å, c = 12.6229 Å
α = 90.00°, β = 90.00°, γ = 90.00°
With the nearest neighbours (Å) after each atom.
Space group Immm (No. 71)
One atom of each set of equivalent atoms:
Ba  0.0000  0.0000  0.0000 (multiplicity 2)  4 Sr 3.75, 4 Y 3.85
Sr  0.0000  0.0000  0.5000 (multiplicity 2)  4 Y 3.75, 4 Ba 3.75
Y  0.0000  0.5000  0.2454 (multiplicity 4)  2 Sr 3.75, 4 Y 3.75, 2 Ba 3.85

Properties
* magnetic moment: 0.000 μB/atom
* E above lowest polymorph: 0.139 eV per atom
* formation energy from the elements: 0.278 eV/atom

***

magnetic moment of number 2 (BaSrY2)? 0.000 μB/atom

***

Which formula does entry 1 have? TlSb2Pb2

***

Which of these has the lowest E above lowest polymorph? TlSb2Pb2